Material: Er2Tl3CuTe6
Method: DFT, PBE
State: optimized geometry

Lattice parameters (Å, degrees): 7.6188 12.9839 8.3586 90.00 109.83 90.00
With the nearest neighbours (Å) after each atom.
Space group C2/m (No. 12)
Symmetry-distinct sites (fractional):
Er 0.0000 0.1601 0.0000  6 Te 3.04-3.12
Tl 0.0000 0.0000 0.5000  6 Te 3.32-3.38
Tl 0.0000 0.3152 0.5000  6 Te 3.39-3.50
Cu 0.0000 0.5000 0.0000  4 Te 2.73
Te 0.2152 0.3471 0.1935  1 Cu 2.73
Te 0.2440 0.0000 0.2376  2 Er 3.04, 1 Cu 3.22, 3 Tl 3.32-3.39

Properties
- Formation energy (no corrections): -0.64 eV/atom

***

Material: Er3Tl3CuTe8
Method: DFT, PBE
State: optimized geometry

Lattice parameters (Å, degrees): 14.9378 8.6021 9.6459 90.00 121.15 90.00
With the nearest neighbours (Å) after each atom.
Space group C2/m (No. 12)
Symmetry-distinct sites (fractional):
Er 0.0000 0.0000 0.0000  6 Te 3.04-3.06
Er 0.2500 0.2500 0.0000  6 Te 3.04-3.07
Tl 0.0000 0.5000 0.5000  6 Te 3.42-3.46
Tl 0.2500 0.2500 0.5000  6 Te 3.42-3.48
Cu 0.0000 0.5000 0.0000  6 Te 2.69-2.93
Te 0.0127 0.2584 0.7962  1 Cu 2.93, 2 Er 3.04
Te 0.2101 0.5000 0.1889  1 Cu 2.69
Te 0.2387 0.0000 0.2152  3 Er 3.05-3.06, 1 Tl 3.42

Properties
- Formation energy (no corrections): -0.71 eV/atom

***

Material: ErTh2Cu
Method: DFT, PBE
State: optimized geometry

Lattice parameters (Å, degrees): 3.6111 3.6111 29.9640 90.00 90.00 120.00
With the nearest neighbours (Å) after each atom.
Space group R-3m (No. 166, hexagonal axes)
Symmetry-distinct sites (fractional):
Er 0.0000 0.0000 0.0000  6 Th 3.55, 6 Er 3.61
Th 0.0000 0.0000 0.2376  3 Cu 2.98
Cu 0.0000 0.0000 0.5000  6 Th 2.98

Properties
- Energy above the lowest structure with this stoichiometry: 99 meV per atom
- Energy of formation from the pure elements: 0.11 eV per atom

***

Material: ErThCu10
Method: DFT, PBE
State: optimized geometry

Lattice parameters (Å, degrees): 4.1037 5.0982 8.7348 90.00 90.00 90.00
With the nearest neighbours (Å) after each atom.
Space group Pmmm (No. 47)
Symmetry-distinct sites (fractional):
Er 0.0000 0.0000 0.0000  6 Cu 2.85-2.91
Th 0.0000 0.5000 0.5000  18 Cu 2.96-3.27
Cu 0.0000 0.0000 0.3265  6 Cu 2.51-2.55
Cu 0.0000 0.5000 0.1606  6 Cu 2.49-2.53
Cu 0.5000 0.0000 0.5000  8 Cu 2.54-2.55
Cu 0.5000 0.2498 0.2481  8 Cu 2.51-2.55
Cu 0.5000 0.5000 0.0000  8 Cu 2.49-2.51

Properties
- Energy of formation from the pure elements: -0.17 eV per atom

***

Material: ErTh2Cu
Method: DFT, PBE
State: optimized geometry

Lattice parameters (Å, degrees): 3.5484 3.5484 8.7410 90.00 90.00 90.00
With the nearest neighbours (Å) after each atom.
Space group P4/mmm (No. 123)
Symmetry-distinct sites (fractional):
Er 0.0000 0.0000 0.0000  4 Er 3.55, 8 Th 3.58
Th 0.5000 0.5000 0.2923  4 Cu 3.10
Cu 0.0000 0.0000 0.5000  8 Th 3.10

Properties
- Energy above the lowest structure with this stoichiometry: 0 meV per atom
- Energy of formation from the pure elements: 0.01 eV per atom

***

Material: Er5ThCu6
Method: DFT, PBE
State: optimized geometry

Lattice parameters (Å, degrees): 4.9148 6.8948 14.7237 90.00 90.00 90.00
With the nearest neighbours (Å) after each atom.
Space group Immm (No. 71)
Symmetry-distinct sites (fractional):
Er 0.0000 0.0000 0.0000  8 Cu 2.99-3.01
Er 0.0000 0.0000 0.3297  8 Cu 2.94-3.05
Er 0.0000 0.5000 0.3342  8 Cu 2.98-3.00
Th 0.0000 0.5000 0.0000  8 Cu 3.01
Cu 0.0000 0.2499 0.1677  7 Er 2.94-3.01, 1 Th 3.01
Cu 0.0000 0.2526 0.5000  6 Er 2.98-3.05, 2 Th 3.01

Properties
- Energy of formation from the pure elements: -0.23 eV per atom

***

Material: Er2ThCu6
Method: DFT, PBE
State: optimized geometry

Lattice parameters (Å, degrees): 7.3733 7.3733 3.5513 90.00 90.00 120.00
With the nearest neighbours (Å) after each atom.
Space group P6/mmm (No. 191)
Symmetry-distinct sites (fractional):
Er 0.3333 0.6667 0.0000  12 Cu 3.02
Th 0.0000 0.0000 0.0000  12 Cu 3.05
Cu 0.0000 0.3361 0.5000  3 Cu 2.42-2.48

Properties
- Energy of formation from the pure elements: -0.24 eV per atom

***

Material: ErThZnCu
Method: DFT, PBE
State: optimized geometry

Lattice parameters (Å, degrees): 7.1353 7.1353 7.1353 90.00 90.00 90.00
With the nearest neighbours (Å) after each atom.
Space group F-43m (No. 216)
Symmetry-distinct sites (fractional):
Er 0.0000 0.0000 0.0000  4 Zn 3.09, 4 Cu 3.09
Th 0.0000 0.0000 0.5000  4 Cu 3.09, 4 Zn 3.09
Zn 0.2500 0.2500 0.2500  4 Th 3.09, 4 Er 3.09
Cu 0.2500 0.2500 0.7500  4 Th 3.09, 4 Er 3.09

Properties
- Energy of formation from the pure elements: -0.17 eV per atom

***

Material: Er2TiCu
Method: DFT, PBE
State: optimized geometry

Lattice parameters (Å, degrees): 3.3251 3.3251 7.8933 90.00 90.00 90.00
With the nearest neighbours (Å) after each atom.
Space group P4/mmm (No. 123)
Symmetry-distinct sites (fractional):
Er 0.0000 0.0000 0.2301  4 Cu 2.97, 4 Ti 3.17, 4 Er 3.33
Ti 0.5000 0.5000 0.5000  8 Er 3.17, 4 Ti 3.33
Cu 0.5000 0.5000 0.0000  8 Er 2.97, 4 Cu 3.33

Properties
- Energy of formation from the pure elements: -0.01 eV per atom

***

Material: ErTiCu
Method: DFT, PBE
State: optimized geometry

Lattice parameters (Å, degrees): 12.2888 3.4158 5.9058 90.00 90.00 90.00
With the nearest neighbours (Å) after each atom.
Space group Amm2 (No. 38)
Symmetry-distinct sites (fractional):
Er 0.1708 0.0000 0.0000  3 Cu 2.88, 3 Ti 3.11-3.12
Ti 0.3672 0.0000 0.3332  3 Cu 2.56
Cu 0.0000 0.0000 0.3346  6 Er 2.88
Cu 0.5000 0.0000 0.9994  6 Ti 2.56

Properties
- Energy of formation from the pure elements: 0.21 eV per atom

***

Material: Er4TlCu
Method: DFT, PBE
State: optimized geometry

Lattice parameters (Å, degrees): 5.3425 6.9895 8.5647 90.00 99.91 90.00
With the nearest neighbours (Å) after each atom.
Space group P2_1/m (No. 11)
Symmetry-distinct sites (fractional):
Er 0.1440 0.2500 0.0518  2 Cu 2.71-2.90
Er 0.2156 0.7500 0.3695  1 Cu 2.98, 2 Tl 3.20-3.21
Er 0.3192 0.5128 0.7507  2 Cu 2.85-3.03
Tl 0.2279 0.2500 0.4214  9 Er 3.12-3.46
Cu 0.3655 0.7500 0.0499  7 Er 2.71-3.03

Properties
- Energy above the lowest structure with this stoichiometry: 0 meV per atom
- Energy of formation from the pure elements: -0.18 eV per atom

***

Material: Er2TlCu
Method: DFT, PBE
State: optimized geometry

Lattice parameters (Å, degrees): 3.7493 3.7493 25.5274 90.00 90.00 120.00
With the nearest neighbours (Å) after each atom.
Space group R-3m (No. 166, hexagonal axes)
Symmetry-distinct sites (fractional):
Er 0.0000 0.0000 0.2374  3 Cu 2.82
Tl 0.0000 0.0000 0.0000  6 Er 3.27
Cu 0.0000 0.0000 0.5000  6 Er 2.82

Properties
- Energy of formation from the pure elements: -0.14 eV per atom